Record 1
First-principles (meta-GGA SCAN) data for a crystal of Sm2Si5Rh3 relaxed with PBEsol, as listed in Alexandria via LeMat-Bulk.

Results
**Uncorrected formation energy**: -103.2 kJ per mole of atoms
**Uncorrected energy**: -25.097 eV per atom
**SG**: Ibam
**DOS at the Fermi energy**: 4.1 states/eV/f.u.

a b c (Å): 8.1268 8.1268 8.1268
angles (deg): 105.56 88.88 138.70
Closest atoms and distances in Å follow each position.
Fractional positions:
Sm 0.1316 0.2322 0.3638  10 Si 2.96-3.18, 3 Rh 3.09-3.12
Sm 0.3684 0.7322 0.1006  10 Si 2.96-3.18, 3 Rh 3.09-3.12
Sm 0.6316 0.2678 0.8994  10 Si 2.96-3.18, 3 Rh 3.09-3.12
Sm 0.8684 0.7678 0.6362  10 Si 2.96-3.18, 3 Rh 3.09-3.12
Si 0.0278 0.7500 0.2778  3 Rh 2.40-2.58, 2 Si 2.51
Si 0.1052 0.6570 0.7622  3 Rh 2.34-2.43, 2 Si 2.51
Si 0.2500 0.2500 0.0000  4 Rh 2.41
Si 0.3948 0.1570 0.5517  3 Rh 2.34-2.43, 2 Si 2.51
Si 0.4722 0.7500 0.7222  3 Rh 2.40-2.58, 2 Si 2.51
Si 0.5278 0.2500 0.2778  3 Rh 2.40-2.58, 2 Si 2.51
Si 0.6052 0.8430 0.4483  3 Rh 2.34-2.43, 2 Si 2.51
Si 0.7500 0.7500 0.0000  4 Rh 2.41
Si 0.8948 0.3430 0.2378  3 Rh 2.34-2.43, 2 Si 2.51
Si 0.9722 0.2500 0.7222  3 Rh 2.40-2.58, 2 Si 2.51
Rh 0.1394 0.8919 0.0313  5 Si 2.34-2.41
Rh 0.2500 0.7500 0.5000  6 Si 2.43-2.58
Rh 0.3606 0.3919 0.7525  5 Si 2.34-2.41
Rh 0.6394 0.6081 0.2475  5 Si 2.34-2.41
Rh 0.7500 0.2500 0.5000  6 Si 2.43-2.58
Rh 0.8606 0.1081 0.9687  5 Si 2.34-2.41

---

Record 2
First-principles (meta-GGA SCAN) data for a crystal of SmSi2Rh3 relaxed with PBEsol, as listed in Alexandria via LeMat-Bulk.

Results
**Uncorrected formation energy**: -111.6 kJ per mole of atoms
**Uncorrected energy**: -28.788 eV per atom
**SG**: P6/mmm
**DOS at the Fermi energy**: 1.5 states/eV/f.u.

a b c (Å): 5.4772 5.4772 3.6538
angles (deg): 90.00 90.00 120.00
Closest atoms and distances in Å follow each position.
Fractional positions:
Sm 0.0000 0.0000 0.0000  6 Si 3.16, 12 Rh 3.29
Si 0.3333 0.6667 0.0000  6 Rh 2.42
Si 0.6667 0.3333 0.0000  6 Rh 2.42
Rh 0.0000 0.5000 0.5000  4 Si 2.42
Rh 0.5000 0.0000 0.5000  4 Si 2.42
Rh 0.5000 0.5000 0.5000  4 Si 2.42

---

Record 3
First-principles (meta-GGA SCAN) data for a crystal of Sm3Si2Rh2 relaxed with PBEsol, as listed in Alexandria via LeMat-Bulk.

Results
**Uncorrected formation energy**: -94.8 kJ per mole of atoms
**Uncorrected energy**: -32.539 eV per atom
**SG**: Pbcm
**DOS at the Fermi energy**: 4.7 states/eV/f.u.

a b c (Å): 5.5782 7.7968 13.0761
angles (deg): 90.00 90.00 90.00
Closest atoms and distances in Å follow each position.
Fractional positions:
Sm 0.1369 0.1108 0.1014  4 Rh 2.90-3.08, 3 Si 2.98-3.24
Sm 0.1369 0.1108 0.3986  4 Rh 2.90-3.08, 3 Si 2.98-3.24
Sm 0.1369 0.3892 0.6014  4 Rh 2.90-3.08, 3 Si 2.98-3.24
Sm 0.1369 0.3892 0.8986  4 Rh 2.90-3.08, 3 Si 2.98-3.24
Sm 0.3620 0.7456 0.7500  5 Si 2.96-3.27, 4 Rh 3.05-3.06
Sm 0.3620 0.7544 0.2500  5 Si 2.96-3.27, 4 Rh 3.05-3.06
Sm 0.6380 0.2456 0.7500  5 Si 2.96-3.27, 4 Rh 3.05-3.06
Sm 0.6380 0.2544 0.2500  5 Si 2.96-3.27, 4 Rh 3.05-3.06
Sm 0.8631 0.6108 0.1014  4 Rh 2.90-3.08, 3 Si 2.98-3.24
Sm 0.8631 0.6108 0.3986  4 Rh 2.90-3.08, 3 Si 2.98-3.24
Sm 0.8631 0.8892 0.6014  4 Rh 2.90-3.08, 3 Si 2.98-3.24
Sm 0.8631 0.8892 0.8986  4 Rh 2.90-3.08, 3 Si 2.98-3.24
Si 0.1489 0.0990 0.7500  2 Rh 2.49
Si 0.1489 0.4010 0.2500  2 Rh 2.49
Si 0.3707 0.7500 0.0000  4 Rh 2.50-2.51
Si 0.3707 0.7500 0.5000  4 Rh 2.50-2.51
Si 0.6293 0.2500 0.0000  4 Rh 2.50-2.51
Si 0.6293 0.2500 0.5000  4 Rh 2.50-2.51
Si 0.8511 0.5990 0.7500  2 Rh 2.49
Si 0.8511 0.9010 0.2500  2 Rh 2.49
Rh 0.3730 0.0331 0.5904  3 Si 2.49-2.51
Rh 0.3730 0.0331 0.9096  3 Si 2.49-2.51
Rh 0.3730 0.4669 0.0904  3 Si 2.49-2.51
Rh 0.3730 0.4669 0.4096  3 Si 2.49-2.51
Rh 0.6270 0.5331 0.5904  3 Si 2.49-2.51
Rh 0.6270 0.5331 0.9096  3 Si 2.49-2.51
Rh 0.6270 0.9669 0.0904  3 Si 2.49-2.51
Rh 0.6270 0.9669 0.4096  3 Si 2.49-2.51

---

Record 4
First-principles (meta-GGA SCAN) data for a crystal of SiSnRh3 relaxed with PBEsol, as listed in Alexandria via LeMat-Bulk.

Results
**Uncorrected formation energy**: -3.1 kJ per mole of atoms
**Uncorrected energy**: -29.483 eV per atom
**SG**: Pm-3m
**DOS at the Fermi energy**: 4.3 states/eV/f.u.

a b c (Å): 4.3679 4.3679 4.3679
angles (deg): 90.00 90.00 90.00
Closest atoms and distances in Å follow each position.
Fractional positions:
Si 0.0000 0.0000 0.0000  6 Rh 2.18
Sn 0.5000 0.5000 0.5000  12 Rh 3.09
Rh 0.0000 0.0000 0.5000  2 Si 2.18
Rh 0.0000 0.5000 0.0000  2 Si 2.18
Rh 0.5000 0.0000 0.0000  2 Si 2.18

---

Record 5
First-principles (meta-GGA SCAN) data for a crystal of Sr2SiRh relaxed with PBEsol, as listed in Alexandria via LeMat-Bulk.

Results
**Uncorrected formation energy**: -53.9 kJ per mole of atoms
**Uncorrected energy**: -22.643 eV per atom
**SG**: Amm2
**DOS at the Fermi energy**: 1.6 states/eV/f.u.

a b c (Å): 4.1933 5.9025 5.9025
angles (deg): 47.26 90.00 90.00
Closest atoms and distances in Å follow each position.
Fractional positions:
Sr 0.0000 0.0000 0.0000  3 Rh 3.13-3.35, 4 Si 3.33
Sr 0.5000 0.2890 0.2890  3 Si 3.15-3.33, 4 Rh 3.34
Si 0.5000 0.5967 0.5967  2 Rh 2.33
Rh 0.0000 0.6900 0.6900  2 Si 2.33

---

Record 6
First-principles (meta-GGA SCAN) data for a crystal of Ta2SiRh relaxed with PBEsol, as listed in Alexandria via LeMat-Bulk.

Results
**Uncorrected formation energy**: -12.8 kJ per mole of atoms
**Uncorrected energy**: -44.371 eV per atom
**SG**: R-3m
**DOS at the Fermi energy**: 3.8 states/eV/f.u.

a b c (Å): 9.0019 9.0019 9.0019
angles (deg): 18.17 18.17 18.17
Closest atoms and distances in Å follow each position.
Fractional positions:
Ta 0.2503 0.2503 0.2503  3 Si 2.75, 3 Rh 2.76, 6 Ta 2.84
Ta 0.7497 0.7497 0.7497  3 Si 2.75, 3 Rh 2.76, 6 Ta 2.84
Si 0.0000 0.0000 0.0000  6 Ta 2.75, 6 Si 2.84
Rh 0.5000 0.5000 0.5000  6 Ta 2.76, 6 Rh 2.84

---

Record 7
First-principles (meta-GGA SCAN) data for a crystal of TaSiRh2 relaxed with PBEsol, as listed in Alexandria via LeMat-Bulk.

Results
**Uncorrected formation energy**: -32.2 kJ per mole of atoms
**Uncorrected energy**: -36.369 eV per atom
**SG**: R3m
**DOS at the Fermi energy**: 2.8 states/eV/f.u.

a b c (Å): 8.6230 8.6230 8.6230
angles (deg): 18.67 18.67 18.67
Closest atoms and distances in Å follow each position.
Fractional positions:
Ta 0.0000 0.0000 0.0000  3 Rh 2.68, 3 Si 2.74, 6 Ta 2.80
Si 0.7537 0.7537 0.7537  3 Rh 2.42
Rh 0.2490 0.2490 0.2490  3 Ta 2.68, 9 Rh 2.80-2.82
Rh 0.4916 0.4916 0.4916  3 Si 2.42

---

Record 8
First-principles (meta-GGA SCAN) data for a crystal of TaSiRh2 relaxed with PBEsol, as listed in Alexandria via LeMat-Bulk.

Results
**Uncorrected formation energy**: -54.6 kJ per mole of atoms
**Uncorrected energy**: -36.601 eV per atom
**SG**: P4mm
**DOS at the Fermi energy**: 1.8 states/eV/f.u.

a b c (Å): 2.8595 2.8595 6.8860
angles (deg): 90.00 90.00 90.00
Closest atoms and distances in Å follow each position.
Fractional positions:
Ta 0.0000 0.0000 0.0000  4 Si 2.71, 4 Rh 2.72, 4 Ta 2.86
Si 0.5000 0.5000 0.7379  4 Rh 2.41
Rh 0.0000 0.0000 0.5466  4 Si 2.41
Rh 0.5000 0.5000 0.2635  4 Ta 2.72, 8 Rh 2.81-2.86

---

Record 9
First-principles (meta-GGA SCAN) data for a crystal of TaSi2Rh relaxed with PBEsol, as listed in Alexandria via LeMat-Bulk.

Results
**Uncorrected formation energy**: -43.7 kJ per mole of atoms
**Uncorrected energy**: -30.550 eV per atom
**SG**: P4/mmm
**DOS at the Fermi energy**: 1.9 states/eV/f.u.

a b c (Å): 4.3462 4.3462 2.9430
angles (deg): 90.00 90.00 90.00
Closest atoms and distances in Å follow each position.
Fractional positions:
Ta 0.0000 0.0000 0.0000  8 Si 2.62
Si 0.0000 0.5000 0.5000  4 Ta 2.62, 4 Rh 2.62
Si 0.5000 0.0000 0.5000  4 Ta 2.62, 4 Rh 2.62
Rh 0.5000 0.5000 0.0000  8 Si 2.62

---

Record 10
First-principles (meta-GGA SCAN) data for a crystal of TaSiRh2 relaxed with PBEsol, as listed in Alexandria via LeMat-Bulk.

Results
**Uncorrected formation energy**: -41.6 kJ per mole of atoms
**Uncorrected energy**: -36.467 eV per atom
**SG**: P4/mmm
**DOS at the Fermi energy**: 2.4 states/eV/f.u.

a b c (Å): 4.5346 4.5346 2.7875
angles (deg): 90.00 90.00 90.00
Closest atoms and distances in Å follow each position.
Fractional positions:
Ta 0.0000 0.0000 0.0000  8 Rh 2.66, 2 Ta 2.79
Si 0.5000 0.5000 0.0000  8 Rh 2.66, 2 Si 2.79
Rh 0.0000 0.5000 0.5000  4 Ta 2.66, 4 Si 2.66, 2 Rh 2.79
Rh 0.5000 0.0000 0.5000  4 Ta 2.66, 4 Si 2.66, 2 Rh 2.79

---

Record 11
First-principles (meta-GGA SCAN) data for a crystal of TaSiRh2 relaxed with PBEsol, as listed in Alexandria via LeMat-Bulk.

Results
**Uncorrected formation energy**: -78.2 kJ per mole of atoms
**Uncorrected energy**: -36.846 eV per atom
**SG**: P4/mmm
**DOS at the Fermi energy**: 1.7 states/eV/f.u.

a b c (Å): 2.8211 2.8211 6.9495
angles (deg): 90.00 90.00 90.00
Closest atoms and distances in Å follow each position.
Fractional positions:
Ta 0.0000 0.0000 0.0000  4 Ta 2.82, 8 Rh 2.84
Si 0.0000 0.0000 0.5000  8 Rh 2.47
Rh 0.5000 0.5000 0.2913  4 Si 2.47
Rh 0.5000 0.5000 0.7087  4 Si 2.47

---

Record 12
First-principles (meta-GGA SCAN) data for a crystal of TaSiRh2 relaxed with PBEsol, as listed in Alexandria via LeMat-Bulk.

Results
**Uncorrected formation energy**: -49.8 kJ per mole of atoms
**Uncorrected energy**: -36.551 eV per atom
**SG**: P4/mmm
**DOS at the Fermi energy**: 2.4 states/eV/f.u.

a b c (Å): 3.8958 3.8958 3.7402
angles (deg): 90.00 90.00 90.00
Closest atoms and distances in Å follow each position.
Fractional positions:
Ta 0.0000 0.0000 0.0000  8 Rh 2.70, 4 Si 2.75
Si 0.5000 0.5000 0.0000  8 Rh 2.70, 4 Ta 2.75
Rh 0.0000 0.5000 0.5000  4 Ta 2.70, 4 Si 2.70, 4 Rh 2.75
Rh 0.5000 0.0000 0.5000  4 Ta 2.70, 4 Si 2.70, 4 Rh 2.75